# Hf3RuO PBE relaxed
# excess energy over the best structure of this formula in the dataset: 1.696 eV per atom
# SG: Pm-3m, No. 221
# theoretical density: 9.0 Mg/m³
# VASP energy: -8.206 eV/atom
data_Hf3RuO
_chemical_formula_sum 'Hf3 Ru1 O1'
_cell_length_a 4.943
_cell_length_b 4.943
_cell_length_c 4.943
_cell_angle_alpha 90.00
_cell_angle_beta 90.00
_cell_angle_gamma 90.00
_symmetry_space_group_name_H-M 'P 1'
_symmetry_Int_Tables_number 1
loop_
_symmetry_equiv_pos_as_xyz
'x,y,z'
loop_
_atom_site_label
_atom_site_type_symbol
_atom_site_fract_x
_atom_site_fract_y
_atom_site_fract_z
Hf1 Hf 0.000 0.500 0.000
Hf2 Hf 0.500 0.000 0.000
Hf3 Hf 0.000 0.000 0.500
O1 O 0.500 0.500 0.500
Ru1 Ru 0.000 0.000 0.000

***

# HfRuO2 PBE relaxed
# excess energy over the best structure of this formula in the dataset: 0.730 eV per atom
# SG: Fm-3m, No. 225
# theoretical density: 11.5 Mg/m³
# VASP energy: -8.284 eV/atom
data_HfRuO2
_chemical_formula_sum 'Hf1 Ru1 O2'
_cell_length_a 3.991
_cell_length_b 3.991
_cell_length_c 3.991
_cell_angle_alpha 60.00
_cell_angle_beta 60.00
_cell_angle_gamma 60.00
_symmetry_space_group_name_H-M 'P 1'
_symmetry_Int_Tables_number 1
loop_
_symmetry_equiv_pos_as_xyz
'x,y,z'
loop_
_atom_site_label
_atom_site_type_symbol
_atom_site_fract_x
_atom_site_fract_y
_atom_site_fract_z
Ru1 Ru 0.000 0.000 0.000
O1 O 0.750 0.750 0.750
O2 O 0.250 0.250 0.250
Hf1 Hf 0.500 0.500 0.500

***

# HfRuO2 PBE relaxed
# excess energy over the best structure of this formula in the dataset: 0.249 eV per atom
# SG: I-42d, No. 122
# theoretical density: 10.1 Mg/m³
# VASP energy: -8.766 eV/atom
data_HfRuO2
_chemical_formula_sum 'Hf2 Ru2 O4'
_cell_length_a 4.034
_cell_length_b 4.034
_cell_length_c 6.895
_cell_angle_alpha 72.99
_cell_angle_beta 72.99
_cell_angle_gamma 90.00
_symmetry_space_group_name_H-M 'P 1'
_symmetry_Int_Tables_number 1
loop_
_symmetry_equiv_pos_as_xyz
'x,y,z'
loop_
_atom_site_label
_atom_site_type_symbol
_atom_site_fract_x
_atom_site_fract_y
_atom_site_fract_z
Ru1 Ru 0.500 0.500 0.000
Ru2 Ru 0.250 0.750 0.500
O1 O 0.633 0.125 0.250
O2 O 0.875 0.883 0.750
O3 O 0.117 0.625 0.250
O4 O 0.375 0.367 0.750
Hf1 Hf 0.750 0.250 0.500
Hf2 Hf 0.000 0.000 0.000

***

# HfRuO2 PBE relaxed
# excess energy over the best structure of this formula in the dataset: 0.000 eV per atom
# SG: R-3m, No. 166
# theoretical density: 9.5 Mg/m³
# VASP energy: -9.014 eV/atom
data_HfRuO2
_chemical_formula_sum 'Hf1 Ru1 O2'
_cell_length_a 6.182
_cell_length_b 6.182
_cell_length_c 6.182
_cell_angle_alpha 30.60
_cell_angle_beta 30.60
_cell_angle_gamma 30.60
_symmetry_space_group_name_H-M 'P 1'
_symmetry_Int_Tables_number 1
loop_
_symmetry_equiv_pos_as_xyz
'x,y,z'
loop_
_atom_site_label
_atom_site_type_symbol
_atom_site_fract_x
_atom_site_fract_y
_atom_site_fract_z
O1 O 0.884 0.884 0.884
O2 O 0.116 0.116 0.116
Ru1 Ru 0.000 0.000 0.000
Hf1 Hf 0.500 0.500 0.500

***

# Hf3RuO PBE relaxed
# excess energy over the best structure of this formula in the dataset: 0.000 eV per atom
# SG: Pm-3m, No. 221
# theoretical density: 13.1 Mg/m³
# VASP energy: -9.902 eV/atom
data_Hf3RuO
_chemical_formula_sum 'Hf3 Ru1 O1'
_cell_length_a 4.361
_cell_length_b 4.361
_cell_length_c 4.361
_cell_angle_alpha 90.00
_cell_angle_beta 90.00
_cell_angle_gamma 90.00
_symmetry_space_group_name_H-M 'P 1'
_symmetry_Int_Tables_number 1
loop_
_symmetry_equiv_pos_as_xyz
'x,y,z'
loop_
_atom_site_label
_atom_site_type_symbol
_atom_site_fract_x
_atom_site_fract_y
_atom_site_fract_z
Ru1 Ru 0.500 0.500 0.500
Hf1 Hf 0.000 0.000 0.500
Hf2 Hf 0.000 0.500 0.000
Hf3 Hf 0.500 0.000 0.000
O1 O 0.000 0.000 0.000

***

# HfRuSO2 PBE relaxed
# SG: P4/mmm, No. 123
# theoretical density: 7.3 Mg/m³
# VASP energy: -7.555 eV/atom
data_HfRuSO2
_chemical_formula_sum 'Hf1 Ru1 S1 O2'
_cell_length_a 3.711
_cell_length_b 5.687
_cell_length_c 3.711
_cell_angle_alpha 90.00
_cell_angle_beta 90.00
_cell_angle_gamma 90.00
_symmetry_space_group_name_H-M 'P 1'
_symmetry_Int_Tables_number 1
loop_
_symmetry_equiv_pos_as_xyz
'x,y,z'
loop_
_atom_site_label
_atom_site_type_symbol
_atom_site_fract_x
_atom_site_fract_y
_atom_site_fract_z
S1 S 0.500 0.500 0.500
Hf1 Hf 0.000 0.500 0.000
Ru1 Ru 0.000 0.000 0.000
O1 O 0.000 0.000 0.500
O2 O 0.500 0.000 0.000

***

# HfScRuO6 PBE relaxed
# SG: P-31c, No. 163
# theoretical density: 6.4 Mg/m³
# VASP energy: -8.554 eV/atom
data_HfScRuO6
_chemical_formula_sum 'Hf2 Sc2 Ru2 O12'
_cell_length_a 5.215
_cell_length_b 5.215
_cell_length_c 9.230
_cell_angle_alpha 90.00
_cell_angle_beta 90.00
_cell_angle_gamma 120.00
_symmetry_space_group_name_H-M 'P 1'
_symmetry_Int_Tables_number 1
loop_
_symmetry_equiv_pos_as_xyz
'x,y,z'
loop_
_atom_site_label
_atom_site_type_symbol
_atom_site_fract_x
_atom_site_fract_y
_atom_site_fract_z
O1 O 0.335 0.349 0.868
O2 O 0.665 0.015 0.368
O3 O 0.985 0.651 0.368
O4 O 0.349 0.015 0.132
O5 O 0.651 0.665 0.632
O6 O 0.015 0.349 0.632
O7 O 0.349 0.335 0.368
O8 O 0.335 0.985 0.632
O9 O 0.651 0.985 0.868
O10 O 0.665 0.651 0.132
O11 O 0.985 0.335 0.132
O12 O 0.015 0.665 0.868
Ru1 Ru 0.667 0.333 0.250
Ru2 Ru 0.333 0.667 0.750
Hf1 Hf 0.667 0.333 0.750
Hf2 Hf 0.333 0.667 0.250
Sc1 Sc 0.000 0.000 0.000
Sc2 Sc 0.000 0.000 0.500

***

# HfSnRuO2 PBE relaxed
# SG: P4/mmm, No. 123
# theoretical density: 8.7 Mg/m³
# VASP energy: -6.816 eV/atom
data_HfSnRuO2
_chemical_formula_sum 'Hf1 Sn1 Ru1 O2'
_cell_length_a 3.934
_cell_length_b 5.329
_cell_length_c 3.934
_cell_angle_alpha 90.00
_cell_angle_beta 90.00
_cell_angle_gamma 90.00
_symmetry_space_group_name_H-M 'P 1'
_symmetry_Int_Tables_number 1
loop_
_symmetry_equiv_pos_as_xyz
'x,y,z'
loop_
_atom_site_label
_atom_site_type_symbol
_atom_site_fract_x
_atom_site_fract_y
_atom_site_fract_z
O1 O 0.500 0.000 0.000
O2 O 0.000 0.000 0.500
Hf1 Hf 0.500 0.500 0.500
Sn1 Sn 0.000 0.000 0.000
Ru1 Ru 0.000 0.500 0.000

***

Question: Among the records above, which one has the highest theoretical density?
Answer: number 5